Entry from Alexandria via LeMat-Bulk: a relaxed AcPmTl3 crystal (PBE-GGA).

Results
Energy of formation: -0.23 eV per atom
Uncorrected energy: -3.42 eV/atom
Size of the total moment: 0.0 μB per formula unit

Geometry as CIF:
```
data_AcPmTl3
_space_group_name_H-M_alt 'C m c e'
_space_group_IT_number 64
_space_group_name_Hall '-C 2ac 2'
_cell_length_a 13.4882
_cell_length_b 11.4962
_cell_length_c 8.6866
_cell_angle_alpha 90.00
_cell_angle_beta 90.00
_cell_angle_gamma 90.00
loop_
_atom_site_label
_atom_site_fract_x
_atom_site_fract_y
_atom_site_fract_z
_atom_site_occupancy
Ac1 0.2500 0.1260 0.2500 1
Pm1 0.0000 0.1653 0.5760 1
Tl1 0.0000 0.0764 0.2276 1
Tl2 0.1376 0.1291 0.8987 1
```

=====

Entry from Alexandria via LeMat-Bulk: a relaxed Cs2MgBr6N crystal (PBE-GGA).

Results
Formation energy without anion corrections: -0.69 eV/atom
Uncorrected energy: -2.85 eV/atom
Size of the total moment: 1.0 μB per formula unit

Geometry as CIF:
```
data_Cs2MgBr6N
_space_group_name_H-M_alt 'I 4/m m m'
_space_group_IT_number 139
_space_group_name_Hall '-I 4 2'
_cell_length_a 7.3982
_cell_length_b 7.3982
_cell_length_c 12.1684
_cell_angle_alpha 90.00
_cell_angle_beta 90.00
_cell_angle_gamma 90.00
loop_
_atom_site_label
_atom_site_fract_x
_atom_site_fract_y
_atom_site_fract_z
_atom_site_occupancy
Cs1 0.0000 0.5000 0.2500 1
Mg1 0.0000 0.0000 0.0000 1
Br1 0.0000 0.0000 0.2052 1
Br2 0.2233 0.2233 0.5000 1
N1 0.0000 0.0000 0.5000 1
```

=====

Entry from Alexandria via LeMat-Bulk: a relaxed Fe5Sb crystal (PBE-GGA).

Results
Formation energy without anion corrections: 0.16 eV/atom
Uncorrected energy: -7.58 eV/atom
Size of the total moment: 11.7 μB per formula unit

Geometry as CIF:
```
data_Fe5Sb
_space_group_name_H-M_alt 'F -4 3 m'
_space_group_IT_number 216
_space_group_name_Hall 'F -4 2 3'
_cell_length_a 6.8381
_cell_length_b 6.8381
_cell_length_c 6.8381
_cell_angle_alpha 90.00
_cell_angle_beta 90.00
_cell_angle_gamma 90.00
loop_
_atom_site_label
_atom_site_fract_x
_atom_site_fract_y
_atom_site_fract_z
_atom_site_occupancy
Fe1 0.0000 0.0000 0.0000 1
Fe2 0.1255 0.1255 0.3745 1
Sb1 0.2500 0.2500 0.7500 1
```

=====

Entry from Alexandria via LeMat-Bulk: a relaxed TaCrRe2 crystal (PBE-GGA).

Results
Energy of formation: 0.21 eV per atom
Uncorrected energy: -11.39 eV/atom
Size of the total moment: 0.0 μB per formula unit

Geometry as CIF:
```
data_TaCrRe2
_space_group_name_H-M_alt 'R -3 m'
_space_group_IT_number 166
_space_group_name_Hall '-R 3 2"'
_cell_length_a 2.7766
_cell_length_b 2.7766
_cell_length_c 27.2288
_cell_angle_alpha 90.00
_cell_angle_beta 90.00
_cell_angle_gamma 120.00
loop_
_atom_site_label
_atom_site_fract_x
_atom_site_fract_y
_atom_site_fract_z
_atom_site_occupancy
Ta1 0.0000 0.0000 0.0000 1
Cr1 0.0000 0.0000 0.5000 1
Re1 0.0000 0.0000 0.2425 1
```

=====

Copy entry 4 word for word.
Entry from Alexandria via LeMat-Bulk: a relaxed TaCrRe2 crystal (PBE-GGA).

Results
Energy of formation: 0.21 eV per atom
Uncorrected energy: -11.39 eV/atom
Size of the total moment: 0.0 μB per formula unit

Geometry as CIF:
```
data_TaCrRe2
_space_group_name_H-M_alt 'R -3 m'
_space_group_IT_number 166
_space_group_name_Hall '-R 3 2"'
_cell_length_a 2.7766
_cell_length_b 2.7766
_cell_length_c 27.2288
_cell_angle_alpha 90.00
_cell_angle_beta 90.00
_cell_angle_gamma 120.00
loop_
_atom_site_label
_atom_site_fract_x
_atom_site_fract_y
_atom_site_fract_z
_atom_site_occupancy
Ta1 0.0000 0.0000 0.0000 1
Cr1 0.0000 0.0000 0.5000 1
Re1 0.0000 0.0000 0.2425 1
```